# 1
The following is a PBE calculation of a relaxed structure of Ca2ReIr, from Alexandria via LeMat-Bulk.

Results
energy above the lowest structure with this stoichiometry: 271 meV/atom
total energy: -0.2159 hartree per atom

Geometry as CIF:
```
data_Ca2ReIr
_cell_length_a 4.098
_cell_length_b 4.142
_cell_length_c 9.177
_cell_angle_alpha 90.00
_cell_angle_beta 90.00
_cell_angle_gamma 90.00
_symmetry_space_group_name_H-M 'C m m m'
_symmetry_Int_Tables_number 65
_symmetry_space_group_name_Hall '-C 2 2'
loop_
_atom_site_label
_atom_site_type_symbol
_atom_site_fract_x
_atom_site_fract_y
_atom_site_fract_z
Ca1 Ca 0.000 0.000 0.230
Re1 Re 0.000 0.500 0.500
Ir1 Ir 0.000 0.500 0.000
```



# 2
The following is a PBE calculation of a relaxed structure of Ca2ReIr, from Alexandria via LeMat-Bulk.

Results
energy above the lowest structure with this stoichiometry: 346 meV/atom
total energy: -0.2132 hartree per atom

Geometry as CIF:
```
data_Ca2ReIr
_cell_length_a 3.028
_cell_length_b 4.681
_cell_length_c 5.484
_cell_angle_alpha 90.00
_cell_angle_beta 90.00
_cell_angle_gamma 90.00
_symmetry_space_group_name_H-M 'P m m m'
_symmetry_Int_Tables_number 47
loop_
_symmetry_equiv_pos_as_xyz
'x,y,z'
'-x,-y,-z'
'-x,-y,z'
'x,y,-z'
'x,-y,-z'
'-x,y,z'
'-x,y,-z'
'x,-y,z'
loop_
_atom_site_label
_atom_site_type_symbol
_atom_site_fract_x
_atom_site_fract_y
_atom_site_fract_z
Ca1 Ca 0.000 0.000 0.246
Re1 Re 0.500 0.500 0.500
Ir1 Ir 0.500 0.500 0.000
```



# 3
The following is a PBE calculation of a relaxed structure of CaReIr, from Alexandria via LeMat-Bulk.

Results
energy above the lowest structure with this stoichiometry: 1976 meV/atom
total energy: -0.2183 hartree per atom

Geometry as CIF:
```
data_CaReIr
_cell_length_a 5.1011
_cell_length_b 5.1011
_cell_length_c 9.2949
_cell_angle_alpha 90.00
_cell_angle_beta 90.00
_cell_angle_gamma 120.00
_symmetry_space_group_name_H-M 'P 63/m m c'
_symmetry_Int_Tables_number 194
_symmetry_space_group_name_Hall '-P 6c 2c'
loop_
_atom_site_label
_atom_site_type_symbol
_atom_site_fract_x
_atom_site_fract_y
_atom_site_fract_z
Ca1 Ca 0.3333 0.6667 0.2500
Re1 Re 0.0000 0.0000 0.2500
Ir1 Ir 0.0000 0.0000 0.0000
```



Repeat the third record exactly.
The following is a PBE calculation of a relaxed structure of CaReIr, from Alexandria via LeMat-Bulk.

Results
energy above the lowest structure with this stoichiometry: 1976 meV/atom
total energy: -0.2183 hartree per atom

Geometry as CIF:
```
data_CaReIr
_cell_length_a 5.1011
_cell_length_b 5.1011
_cell_length_c 9.2949
_cell_angle_alpha 90.00
_cell_angle_beta 90.00
_cell_angle_gamma 120.00
_symmetry_space_group_name_H-M 'P 63/m m c'
_symmetry_Int_Tables_number 194
_symmetry_space_group_name_Hall '-P 6c 2c'
loop_
_atom_site_label
_atom_site_type_symbol
_atom_site_fract_x
_atom_site_fract_y
_atom_site_fract_z
Ca1 Ca 0.3333 0.6667 0.2500
Re1 Re 0.0000 0.0000 0.2500
Ir1 Ir 0.0000 0.0000 0.0000
```